Entry 1:
The following is a DFT calculation (PBE) of a geometry-optimized CePaZnOs structure.

```
CePaZnOs
1.0
0.0000 3.3894 3.3894
3.3894 0.0000 3.3894
3.3894 3.3894 0.0000
Ce Pa Zn Os
1 1 1 1
direct
0.0000 0.0000 0.0000
0.2500 0.2500 0.2500
0.7500 0.7500 0.7500
0.5000 0.5000 0.5000
```

Properties
The size of the total moment comes out at 1.06 μB per formula unit. The total energy is -7.151 eV/atom.



Entry 2:
The following is a DFT calculation (PBE) of a geometry-optimized YP3C structure.

```
YP3C
1.0
4.2433 0.0000 0.0000
0.0000 4.2433 0.0000
0.0000 0.0000 4.2433
Y P C
1 3 1
direct
0.0000 0.0000 0.0000
0.0000 0.5000 0.5000
0.5000 0.0000 0.5000
0.5000 0.5000 0.0000
0.5000 0.5000 0.5000
```

Properties
The size of the total moment comes out at 0.00 μB per formula unit. The total energy is -5.973 eV/atom. The value obtained for the polymorph energy (0 for the lowest one) is 0.00 eV/f.u.



Entry 3:
The following is a DFT calculation (PBE) of a geometry-optimized Ce2CSe structure.

```
Ce2CSe
1.0
1.9268 1.1125 6.7240
-1.9268 1.1125 6.7240
0.0000 -2.2249 6.7240
Ce C Se
2 1 1
direct
0.2352 0.2352 0.2352
0.7648 0.7648 0.7648
0.5000 0.5000 0.5000
0.0000 0.0000 0.0000
```

Properties
The size of the total moment comes out at 0.97 μB per formula unit. The total energy is -7.146 eV/atom. Its uncorrected formation energy is -1.002 eV per atom.



Entry 4:
The following is a DFT calculation (PBE) of a geometry-optimized AlCO2F structure.

```
AlCO2F
1.0
3.7267 0.0000 0.0000
0.0000 3.7267 0.0000
0.0000 0.0000 3.4984
Al C O F
1 1 2 1
direct
0.0000 0.0000 0.0000
0.5000 0.5000 0.5000
0.0000 0.5000 0.0000
0.5000 0.0000 0.0000
0.0000 0.0000 0.5000
```

Properties
The size of the total moment comes out at 0.00 μB per formula unit. The total energy is -5.360 eV/atom. Its uncorrected formation energy is -0.409 eV per atom.



Entry 5:
The following is a DFT calculation (PBE) of a geometry-optimized Hf2Be structure.

```
Hf2Be
1.0
-1.5707 1.5707 5.4548
1.5707 -1.5707 5.4548
1.5707 1.5707 -5.4548
Hf Be
2 1
direct
0.1513 0.1513 0.0000
0.8487 0.8487 0.0000
0.5000 0.5000 0.0000
```

Properties
The size of the total moment comes out at 0.00 μB per formula unit. The total energy is -7.901 eV/atom.



Entry 6:
The following is a DFT calculation (PBE) of a geometry-optimized KPr2SbO6 structure.

```
KPr2SbO6
1.0
3.0118 1.7388 5.2898
-3.0118 1.7388 5.2898
0.0000 -3.4777 5.2898
K Pr Sb O
1 2 1 6
direct
0.0000 0.0000 0.0000
0.2646 0.2646 0.2646
0.7757 0.7757 0.7757
0.4710 0.4710 0.4710
0.1127 0.6244 0.4236
0.2395 0.5454 0.8217
0.4236 0.1127 0.6244
0.5454 0.8217 0.2395
0.6244 0.4236 0.1127
0.8217 0.2395 0.5454
```

Properties
The size of the total moment comes out at 0.00 μB per formula unit. The total energy is -6.882 eV/atom. Its uncorrected formation energy is -2.429 eV per atom.